# TaSbI2F

TaSbI2F after structural relaxation (PBE, Alexandria via LeMat-Bulk).

Lattice parameters (Å, degrees): 5.411 5.411 5.438 90.00 90.00 90.00
Site moments in Bohr magnetons follow the coordinates.
Fractional coordinates of all 5 atoms:
I 0.000 0.500 0.000  0.04
I 0.500 0.000 0.000  0.04
Sb 0.000 0.000 0.500  0.17
Ta 0.000 0.000 0.000  -0.02
F 0.500 0.500 0.500  0.04

Values from the calculation:
* uncorrected formation energy: 0.034 eV per atom
* excess energy over the best structure of this formula in the dataset: 0 meV per atom
* crystal system: tetragonal
* VASP energy: -4.155 eV/atom
* total magnetization: 0.54 μB/cell
* space group: P4/mmm, No. 123

***

# CuTe3

CuTe3 after structural relaxation (PBE, Alexandria via LeMat-Bulk).

Lattice parameters (Å, degrees): 3.878 3.843 7.038 90.00 90.00 90.00
Fractional coordinates of all 4 atoms:
Te 0.000 0.500 0.273
Te 0.500 0.000 0.516
Te 0.500 0.500 0.882
Cu 0.000 0.000 0.995

Values from the calculation:
* uncorrected formation energy: 0.206 eV per atom
* crystal system: orthorhombic
* VASP energy: -3.174 eV/atom
* total magnetization: 0.00 μB/cell
* space group: Pmm2, No. 25

***

# NaTiZn2

NaTiZn2 after structural relaxation (PBE, Alexandria via LeMat-Bulk).

Lattice parameters (Å, degrees): 2.905 2.905 8.603 90.00 90.00 90.00
Fractional coordinates of all 4 atoms:
Na 0.500 0.500 0.500
Ti 0.500 0.500 0.000
Zn 0.000 0.000 0.216
Zn 0.000 0.000 0.784

Values from the calculation:
* formation energy: 0.009 eV per atom
* excess energy over the best structure of this formula in the dataset: 0 meV per atom
* crystal system: tetragonal
* VASP energy: -2.931 eV/atom
* total magnetization: 0.00 μB/cell
* space group: P4/mmm, No. 123

***

# AsSe2

AsSe2 after structural relaxation (PBE, Alexandria via LeMat-Bulk).

Lattice parameters (Å, degrees): 5.767 5.767 5.767 144.82 144.82 50.60
Fractional coordinates of all 3 atoms:
Se 0.643 0.643 0.000
Se 0.357 0.357 0.000
As 0.000 0.000 0.000

Values from the calculation:
* uncorrected formation energy: 0.405 eV per atom
* crystal system: tetragonal
* VASP energy: -3.468 eV/atom
* total magnetization: 0.00 μB/cell
* space group: I4/mmm, No. 139

***

# Ca2PmTl9

Ca2PmTl9 after structural relaxation (PBE, Alexandria via LeMat-Bulk).

Lattice parameters (Å, degrees): 4.844 4.844 14.543 90.00 90.00 90.00
Fractional coordinates of all 12 atoms:
Tl 0.500 0.000 0.500
Tl 0.500 0.500 0.667
Tl 0.500 0.000 0.166
Tl 0.000 0.500 0.166
Tl 0.500 0.000 0.834
Tl 0.500 0.500 0.000
Tl 0.000 0.500 0.500
Tl 0.000 0.500 0.834
Tl 0.500 0.500 0.333
Ca 0.000 0.000 0.669
Ca 0.000 0.000 0.331
Pm 0.000 0.000 0.000

Values from the calculation:
* formation energy: -0.254 eV per atom
* crystal system: tetragonal
* VASP energy: -2.758 eV/atom
* total magnetization: 0.00 μB/cell
* space group: P4/mmm, No. 123

***

# Pd2SeN

Pd2SeN after structural relaxation (PBE, Alexandria via LeMat-Bulk).

Lattice parameters (Å, degrees): 4.269 4.269 4.269 60.00 60.00 60.00
Fractional coordinates of all 4 atoms:
Pd 0.750 0.750 0.750
Pd 0.250 0.250 0.250
N 0.000 0.000 0.000
Se 0.500 0.500 0.500

Values from the calculation:
* uncorrected formation energy: 0.769 eV per atom
* excess energy over the best structure of this formula in the dataset: 375 meV per atom
* crystal system: cubic
* VASP energy: -4.780 eV/atom
* total magnetization: 0.00 μB/cell
* space group: Fm-3m, No. 225

***

# PmPr4Y2Er2

PmPr4Y2Er2 after structural relaxation (PBE, Alexandria via LeMat-Bulk).

Lattice parameters (Å, degrees): 5.128 8.123 8.105 107.26 90.00 108.40
Fractional coordinates of all 9 atoms:
Pr 0.223 0.445 0.330
Pr 0.554 0.108 0.330
Pr 0.777 0.555 0.670
Pr 0.446 0.892 0.670
Y 0.888 0.777 0.331
Y 0.112 0.223 0.669
Pm 0.000 0.000 0.000
Er 0.332 0.663 0.000
Er 0.668 0.337 0.000

Values from the calculation:
* formation energy: 0.019 eV per atom
* crystal system: monoclinic
* VASP energy: -5.083 eV/atom
* total magnetization: 0.00 μB/cell
* space group: C2/m, No. 12

***

# As2PC

As2PC after structural relaxation (PBE, Alexandria via LeMat-Bulk).

Lattice parameters (Å, degrees): 5.816 5.816 5.660 59.09 59.09 90.00
Fractional coordinates of all 8 atoms:
C 0.250 0.750 0.500
C 0.500 0.500 0.000
As 0.185 0.625 0.250
As 0.565 0.125 0.250
As 0.375 0.435 0.750
As 0.875 0.815 0.750
P 0.000 0.000 0.000
P 0.750 0.250 0.500

Values from the calculation:
* formation energy: 0.863 eV per atom
* excess energy over the best structure of this formula in the dataset: 0 meV per atom
* crystal system: tetragonal
* VASP energy: -5.120 eV/atom
* total magnetization: 0.00 μB/cell
* space group: I-42d, No. 122

***

# ZrTi2PbN

ZrTi2PbN after structural relaxation (PBE, Alexandria via LeMat-Bulk).

Lattice parameters (Å, degrees): 4.195 4.195 4.717 90.00 90.00 90.00
Fractional coordinates of all 5 atoms:
Pb 0.500 0.500 0.500
N 0.000 0.000 0.000
Zr 0.000 0.000 0.500
Ti 0.500 0.000 0.000
Ti 0.000 0.500 0.000

Values from the calculation:
* uncorrected formation energy: -0.724 eV per atom
* crystal system: tetragonal
* VASP energy: -7.998 eV/atom
* total magnetization: 0.01 μB/cell
* space group: P4/mmm, No. 123

***

# CeGeS4

CeGeS4 after structural relaxation (PBE, Alexandria via LeMat-Bulk).

Lattice parameters (Å, degrees): 7.384 7.384 7.384 74.31 74.31 117.33
Site moments in Bohr magnetons follow the coordinates.
Fractional coordinates of all 12 atoms:
Ce 0.125 0.375 0.750  0.23
Ce 0.875 0.625 0.250  0.23
S 0.609 0.676 0.567  -0.01
S 0.391 0.324 0.433  -0.01
S 0.824 0.891 0.933  -0.01
S 0.176 0.744 0.433  -0.01
S 0.824 0.256 0.567  -0.01
S 0.244 0.676 0.933  -0.01
S 0.756 0.324 0.067  -0.01
S 0.176 0.109 0.067  -0.01
Ge 0.375 0.125 0.250  0.00
Ge 0.625 0.875 0.750  0.00

Values from the calculation:
* uncorrected formation energy: -0.966 eV per atom
* excess energy over the best structure of this formula in the dataset: 0 meV per atom
* crystal system: tetragonal
* VASP energy: -5.477 eV/atom
* total magnetization: 0.34 μB/cell
* space group: I4_1/amd, No. 141

***

# Tb6GeTe3Pb2

Tb6GeTe3Pb2 after structural relaxation (PBE, Alexandria via LeMat-Bulk).

Lattice parameters (Å, degrees): 4.358 8.837 9.826 103.09 102.81 90.00
Fractional coordinates of all 12 atoms:
Te 0.500 0.500 0.000
Te 0.168 0.834 0.337
Te 0.832 0.166 0.663
Pb 0.833 0.668 0.667
Pb 0.167 0.332 0.333
Tb 0.667 0.579 0.334
Tb 0.657 0.082 0.313
Tb 0.343 0.918 0.687
Tb 0.999 0.773 0.998
Tb 0.333 0.421 0.666
Tb 0.001 0.227 0.002
Ge 0.500 0.000 0.000

Values from the calculation:
* uncorrected formation energy: -1.028 eV per atom
* crystal system: monoclinic
* VASP energy: -5.132 eV/atom
* total magnetization: 0.00 μB/cell
* space group: C2/m, No. 12

***

# Zn2CoRe

Zn2CoRe after structural relaxation (PBE, Alexandria via LeMat-Bulk).

Lattice parameters (Å, degrees): 3.988 2.644 5.225 75.17 90.00 90.00
Fractional coordinates of all 4 atoms:
Re 0.500 0.704 0.715
Zn 0.000 0.049 0.023
Zn 0.500 0.443 0.236
Co 0.000 0.304 0.526

Values from the calculation:
* formation energy: 0.129 eV per atom
* excess energy over the best structure of this formula in the dataset: 112 meV per atom
* crystal system: monoclinic
* VASP energy: -5.396 eV/atom
* total magnetization: 0.00 μB/cell
* space group: Pm, No. 6

***

Values of calculated volume, in order: 159; 105; 73; 63; 341; 55; 304; 132; 83; 306; 359; 53, all in Å³/cell.